Record 1
The following is a DFT calculation (PBE) of a relaxed structure of PrHo4Au5.

```
PrHo4Au5
1.0
3.584 0.000 0.000
0.000 3.584 0.000
0.000 0.000 18.378
Pr Ho Au
1 4 5
Cartesian
0.000 0.000 0.000
0.000 0.000 3.768
0.000 0.000 7.381
0.000 0.000 10.997
0.000 0.000 14.610
1.792 1.792 2.084
1.792 1.792 5.585
1.792 1.792 9.189
1.792 1.792 12.793
1.792 1.792 16.294
```

- energy (eV/cell) = -47.98
- ΔH_f (0 K) (kJ per mole of atoms) = -82.0
- ρ (g/cm³) = 12.56
- total moment (μB/f.u.) = 0.00

---

Record 2
The following is a DFT calculation (PBE) of a relaxed structure of InNiH2Ir.

```
InNiH2Ir
1.0
3.612 0.000 0.000
0.000 3.612 0.000
0.000 0.000 5.170
In Ni H Ir
1 1 2 1
Cartesian
0.000 0.000 0.000
0.000 0.000 2.585
0.000 1.806 2.585
1.806 0.000 2.585
1.806 1.806 0.000
```

- energy (eV/cell) = -20.05
- ρ (g/cm³) = 9.05
- total moment (μB/f.u.) = 0.00

---

Record 3
The following is a DFT calculation (PBE) of a relaxed structure of Li2PaSn2N4.

```
Li2PaSn2N4
1.0
6.500 -1.762 0.000
6.500 1.762 0.000
-2.633 0.000 5.529
Li Pa Sn N
2 1 2 4
Cartesian
1.104 0.000 2.565
9.262 0.000 2.964
5.183 0.000 2.765
2.012 0.000 5.206
8.355 0.000 0.323
-0.632 0.000 1.629
2.992 0.000 1.437
7.375 0.000 4.093
10.998 0.000 3.900
```

- energy (eV/cell) = -57.30
- raw formation energy (meV/atom) = -296
- ρ (g/cm³) = 7.06
- total moment (μB/f.u.) = 0.00

---

Record 4
The following is a DFT calculation (PBE) of a relaxed structure of CoRuCl.

```
CoRuCl
1.0
0.000 2.547 5.900
1.527 0.000 5.900
1.527 2.547 0.000
Co Ru Cl
1 1 1
Cartesian
0.000 0.000 0.000
1.527 2.547 7.684
1.527 2.547 4.027
```

- energy (eV/cell) = -16.47
- raw formation energy (meV/atom) = 587
- relative energy among the computed polymorphs (eV/f.u.) = 0.40
- ρ (g/cm³) = 7.07
- total moment (μB/f.u.) = 3.21

---

Record 5
The following is a DFT calculation (PBE) of a relaxed structure of Nd2Ga3Pt6.

```
Nd2Ga3Pt6
1.0
7.467 0.000 0.000
-3.734 6.467 0.000
0.000 0.000 4.364
Nd Ga Pt
2 3 6
Cartesian
0.000 4.311 0.000
3.734 2.156 0.000
-1.444 2.500 2.182
2.887 0.000 2.182
2.290 3.967 2.182
-0.805 1.394 0.000
-2.681 4.643 2.182
1.609 0.000 0.000
1.053 1.824 2.182
5.361 0.000 2.182
2.929 5.073 0.000
```

- energy (eV/cell) = -64.05
- ΔH_f (0 K) (kJ per mole of atoms) = -80.6
- ρ (g/cm³) = 13.14
- total moment (μB/f.u.) = 0.00

---

Record 6
The following is a DFT calculation (PBE) of a relaxed structure of ZrVNiIr.

```
ZrVNiIr
1.0
0.000 3.146 3.146
3.146 0.000 3.146
3.146 3.146 0.000
Zr V Ni Ir
1 1 1 1
Cartesian
0.000 0.000 0.000
3.146 3.146 3.146
1.573 1.573 1.573
4.719 4.719 4.719
```

- energy (eV/cell) = -33.53
- ΔH_f (0 K) (kJ per mole of atoms) = -29.4
- ρ (g/cm³) = 10.48
- total moment (μB/f.u.) = 1.56

---

Record 7
The following is a DFT calculation (PBE) of a relaxed structure of Ce6Tc2Pt.

```
Ce6Tc2Pt
1.0
6.519 0.000 0.000
0.000 7.144 0.000
-6.192 0.000 9.726
Ce Tc Pt
12 4 2
Cartesian
-2.162 1.346 4.130
-5.259 2.226 8.994
-0.948 4.568 4.342
-4.044 6.148 9.205
1.183 0.553 2.251
-1.913 3.019 7.114
2.239 4.125 2.612
-0.857 6.591 7.475
4.370 0.996 0.521
1.274 2.576 5.384
5.585 4.918 0.733
2.489 5.798 5.596
-3.269 0.927 7.069
-0.173 2.645 2.206
0.499 4.499 7.521
3.595 6.217 2.657
0.163 0.000 4.863
3.259 3.572 0.000
```

- energy (eV/cell) = -128.31
- relative energy among the computed polymorphs (eV/f.u.) = 1.20
- ΔH_f (0 K) (kJ per mole of atoms) = -19.1
- ρ (g/cm³) = 9.03
- total moment (μB/f.u.) = 0.33

---

Record 8
The following is a DFT calculation (PBE) of a relaxed structure of NiP2Cl.

```
NiP2Cl
1.0
2.267 -3.765 0.000
2.267 3.765 0.000
0.000 0.000 3.736
Ni P Cl
1 2 1
Cartesian
0.000 0.000 0.000
2.267 2.449 1.868
2.267 -2.449 1.868
2.267 0.000 0.000
```

- energy (eV/cell) = -18.75
- raw formation energy (meV/atom) = -74
- relative energy among the computed polymorphs (eV/f.u.) = 0.55
- ρ (g/cm³) = 4.07
- total moment (μB/f.u.) = 0.00